No. 1
A relaxed structure of Co3ReAs, computed with GGA-PBE.

E_form, eV per atom: 1.17
Calculated volume, Å³ per atom: 15.2
Fermi-level density of states, states/eV/atom: 1.225
Energy above the lowest structure with this stoichiometry, meV per atom: 0.0
E, eV per atom: -6.517

abc: 4.2364 4.2364 4.2364
angles: 90.00 90.00 90.00
Space group Pm-3m (No. 221)
One atom of each set of equivalent atoms:
Co  0.0000  0.0000  0.5000 [3 per cell]
Re  0.5000  0.5000  0.5000 [1 per cell]
As  0.0000  0.0000  0.0000 [1 per cell]

=====

No. 2
A relaxed structure of VCrSiAu, computed with GGA-PBE.

Calculated volume, Å³ per atom: 14.3
Fermi-level density of states, states/eV/atom: 0.650
Formation energy from raw total energies, meV per atom: -54
Energy above the lowest structure with this stoichiometry, meV per atom: 6.1
E, eV per atom: -6.915

abc: 3.7902 3.7902 7.9802
angles: 90.00 90.00 90.00
Space group I-4m2 (No. 119)
One atom of each set of equivalent atoms:
V  0.0000  0.0000  0.0000 [2 per cell]
Cr  0.0000  0.0000  0.5000 [2 per cell]
Si  0.0000  0.5000  0.7500 [2 per cell]
Au  0.0000  0.5000  0.2500 [2 per cell]

=====

No. 3
A relaxed structure of NdHg3Pt8, computed with GGA-PBE.

E_form, eV per atom: -0.31
Calculated volume, Å³ per atom: 18.8
Fermi-level density of states, states/eV/atom: 0.996
E, eV per atom: -4.806

abc: 5.4194 5.4194 26.5590
angles: 90.00 90.00 120.00
Space group R3m (No. 160, hexagonal axes)
One atom of each set of equivalent atoms:
Nd  0.0000  0.0000  0.0000 [3 per cell]
Hg  0.0000  0.0000  0.1266 [3 per cell]
Hg  0.0000  0.0000  0.4967 [3 per cell]
Hg  0.0000  0.0000  0.6182 [3 per cell]
Pt  0.0000  0.0000  0.3118 [3 per cell]
Pt  0.0000  0.0000  0.8117 [3 per cell]
Pt  0.9997  0.4998  0.0621 [9 per cell]
Pt  0.1674  0.3348  0.8948 [9 per cell]

=====

No. 4
A relaxed structure of Ho8GeTe3As3, computed with GGA-PBE.

Calculated volume, Å³ per atom: 27.8
Fermi-level density of states, states/eV/atom: 0.399
Formation energy from raw total energies, meV per atom: -1257
E, eV per atom: -5.565

abc: 8.3211 8.3211 20.8888
angles: 90.00 90.00 120.00
Space group R-3m (No. 166, hexagonal axes)
One atom of each set of equivalent atoms:
Ho  0.0000  0.0000  0.2392 [6 per cell]
Ho  0.0011  0.5005  0.7590 [18 per cell]
Ge  0.0000  0.0000  0.5000 [3 per cell]
Te  0.0000  0.5000  0.0000 [9 per cell]
As  0.0000  0.5000  0.5000 [9 per cell]

=====

Repeat the third record exactly.
A relaxed structure of NdHg3Pt8, computed with GGA-PBE.

E_form, eV per atom: -0.31
Calculated volume, Å³ per atom: 18.8
Fermi-level density of states, states/eV/atom: 0.996
E, eV per atom: -4.806

abc: 5.4194 5.4194 26.5590
angles: 90.00 90.00 120.00
Space group R3m (No. 160, hexagonal axes)
One atom of each set of equivalent atoms:
Nd  0.0000  0.0000  0.0000 [3 per cell]
Hg  0.0000  0.0000  0.1266 [3 per cell]
Hg  0.0000  0.0000  0.4967 [3 per cell]
Hg  0.0000  0.0000  0.6182 [3 per cell]
Pt  0.0000  0.0000  0.3118 [3 per cell]
Pt  0.0000  0.0000  0.8117 [3 per cell]
Pt  0.9997  0.4998  0.0621 [9 per cell]
Pt  0.1674  0.3348  0.8948 [9 per cell]